# 1
{
  "formula": "PmNdIrBr",
  "functional": "PBE",
  "state": "relaxed",
  "lattice_angstrom": [[-0.981, -3.703, -1.593], [3.103, 0.325, 2.734], [-5.448, 1.170, 6.040]],
  "species": ["Pm", "Nd", "Ir", "Br"],
  "fractional_positions": [[0.099, 0.947, 0.062], [0.509, 0.152, 0.678], [0.305, 0.550, 0.871], [0.964, 0.381, 0.359]],
  "space_group": "No. 160",
  "mass_density_g_cm3": 7.96,
  "raw_formation_energy_ev_per_atom": -1.076,
  "total_magnetization_mub_per_fu": 0.00
}

***

# 2
{
  "formula": "Nd6Ir2PtBr3",
  "functional": "PBE",
  "state": "relaxed",
  "lattice_angstrom": [[-5.624, -3.393, -3.078], [2.585, -2.313, 6.370], [-3.894, 6.663, 2.623]],
  "species": ["Nd", "Nd", "Nd", "Nd", "Nd", "Nd", "Ir", "Ir", "Pt", "Br", "Br", "Br"],
  "fractional_positions": [[0.935, 0.594, 0.804], [0.724, 0.724, 0.196], [0.065, 0.406, 0.196], [0.594, 0.935, 0.804], [0.276, 0.276, 0.804], [0.406, 0.065, 0.196], [0.333, 0.667, 0.000], [0.667, 0.333, 0.000], [0.000, 0.000, 0.000], [0.168, 0.832, 0.500], [0.832, 0.168, 0.500], [0.500, 0.500, 0.500]],
  "space_group": "No. 12",
  "mass_density_g_cm3": 7.89,
  "raw_formation_energy_ev_per_atom": -1.157,
  "total_magnetization_mub_per_fu": 0.00
}